VASP calculation (PBE) on a geometry-optimized LaSm2Pb2 structure.

a = 5.275 Å, b = 5.275 Å, c = 13.274 Å
α = 90.00°, β = 90.00°, γ = 120.00°
Fractional coordinates of all 10 atoms:
Pb 0.667 0.333 0.121
La 0.000 0.000 0.250
Sm 0.667 0.333 0.750
Sm 0.333 0.667 0.250
La 0.000 0.000 0.750
Sm 0.000 0.000 0.000
Pb 0.333 0.667 0.879
Pb 0.333 0.667 0.621
Sm 0.000 0.000 0.500
Pb 0.667 0.333 0.379

Computed properties:
Formation energy = -0.155 eV per atom
E_tot = -4.51 eV/atom
Energy above the lowest structure with this stoichiometry = 203 meV per atom
Crystal system = hexagonal


VASP calculation (PBE) on a geometry-optimized LiZrHg2 structure.

a = 10.697 Å, b = 10.697 Å, c = 10.697 Å
α = 16.67°, β = 16.67°, γ = 16.67°
Fractional coordinates of all 4 atoms:
Li 0.504 0.504 0.504
Hg 0.002 0.002 0.002
Zr 0.751 0.751 0.751
Hg 0.242 0.242 0.242

Computed properties:
Formation energy = 0.015 eV per atom
E_tot = -2.75 eV/atom
Crystal system = trigonal


VASP calculation (PBE) on a geometry-optimized Ac2MgGa3Rh4 structure.

a = 4.368 Å, b = 4.368 Å, c = 10.626 Å
α = 90.00°, β = 90.00°, γ = 90.00°
Fractional coordinates of all 10 atoms:
Rh 0.000 0.000 0.000
Rh 0.500 0.000 0.640
Ac 0.500 0.000 0.238
Rh 0.500 0.500 0.000
Mg 0.500 0.500 0.500
Rh 0.000 0.500 0.360
Ga 0.500 0.000 0.883
Ac 0.000 0.500 0.762
Ga 0.000 0.000 0.500
Ga 0.000 0.500 0.117

Computed properties:
Formation energy = -0.754 eV per atom
E_tot = -5.58 eV/atom
Crystal system = tetragonal


VASP calculation (PBE) on a geometry-optimized HfThCuRe structure.

a = 4.857 Å, b = 4.857 Å, c = 4.857 Å
α = 60.00°, β = 60.00°, γ = 60.00°
Fractional coordinates of all 4 atoms:
Cu 0.250 0.250 0.250
Re 0.750 0.750 0.750
Hf 0.500 0.500 0.500
Th 0.000 0.000 0.000

Computed properties:
Formation energy = -0.017 eV per atom
E_tot = -8.50 eV/atom
Crystal system = cubic


VASP calculation (PBE) on a geometry-optimized PaCdAgHg structure.

a = 5.046 Å, b = 5.046 Å, c = 5.046 Å
α = 60.00°, β = 60.00°, γ = 60.00°
Site moments in Bohr magnetons follow the coordinates.
Fractional coordinates of all 4 atoms:
Cd 0.750 0.750 0.750  0.00
Pa 0.250 0.250 0.250  0.29
Hg 0.500 0.500 0.500  0.00
Ag 0.000 0.000 0.000  0.00

Computed properties:
Formation energy = 0.071 eV per atom
E_tot = -3.32 eV/atom
Crystal system = cubic


VASP calculation (PBE) on a geometry-optimized Mg2In8Hg structure.

a = 4.680 Å, b = 4.680 Å, c = 13.218 Å
α = 90.00°, β = 90.00°, γ = 90.00°
Fractional coordinates of all 11 atoms:
In 0.500 0.500 0.675
Mg 0.000 0.000 0.668
In 0.000 0.500 0.500
Hg 0.000 0.000 0.000
In 0.500 0.000 0.153
In 0.500 0.500 0.325
Mg 0.000 0.000 0.332
In 0.500 0.000 0.847
In 0.500 0.000 0.500
In 0.000 0.500 0.847
In 0.000 0.500 0.153

Computed properties:
Formation energy = -0.004 eV per atom
E_tot = -2.31 eV/atom
Energy above the lowest structure with this stoichiometry = 0 meV per atom
Crystal system = tetragonal